# 1
12
Lattice="-0.912 -4.308 -2.325 4.866 -1.214 0.475 -1.358 -3.036 6.158" Properties=species:S:1:pos:R:3 comment="NaCa2NiF8 | the Alexandria database | PBE+U | relaxed" e_tot_ev_per_cell=-58.73 crystal_system=monoclinic pbc="T T T"
F 2.738 -4.226 4.878
F 1.119 -1.525 -0.505
F 0.567 -3.212 2.518
F 1.478 -7.033 4.813
Ca 1.641 -3.513 0.600
Na -0.679 -1.518 3.079
F -0.141 -4.332 -0.570
F 3.550 -2.409 1.193
Ni 0.000 0.000 0.000
F -0.954 -6.149 3.115
F 2.030 -5.346 1.789
Ca 0.956 -5.045 3.708

# 2
5
Lattice="-2.182 2.510 -3.081 1.684 -2.455 -3.193 -3.569 -2.784 0.259" Properties=species:S:1:pos:R:3 comment="NaCaNi2F | the Alexandria database | PBE+U | relaxed" e_tot_ev_per_cell=-9.13 crystal_system=tetragonal pbc="T T T"
Ni -1.785 -1.392 0.129
F 0.000 0.000 0.000
Na -2.034 -1.364 -3.007
Ca 0.842 -1.228 -1.596
Ni -1.091 1.255 -1.541